LaYI2O, relaxed, DFT PBE-GGA; formation energy from raw total energies = -1.28 eV/atom; volume = 181.3 Å³/cell; magnetic moment = 0.0 Bohr magnetons per cell
1.0
6.5393 0.0000 0.0000
0.0000 6.5393 0.0000
0.0000 0.0000 4.2407
La Y I O
1 1 2 1
direct
0.0000 0.0000 0.0000
0.5000 0.5000 0.5000
0.0000 0.5000 0.0000
0.5000 0.0000 0.0000
0.0000 0.0000 0.5000